Compound: AcGe2Rh5
Source: Alexandria
Functional: GGA-PBE
Structure: relaxed

Values from the calculation:
As for the space group: Immm. The calculated formation energy comes out at -0.586 eV/atom.

The structure in POSCAR format:
```
AcGe2Rh5
1.0
3.991 0.000 0.000
0.000 6.953 0.000
0.000 0.000 10.130
Ac Ge Rh
2 4 10
Direct
0.000 0.000 0.000 Ac
0.500 0.500 0.500 Ac
0.000 0.500 0.236 Ge
0.000 0.500 0.764 Ge
0.500 0.000 0.264 Ge
0.500 0.000 0.736 Ge
0.000 0.196 0.355 Rh
0.000 0.196 0.645 Rh
0.000 0.500 0.000 Rh
0.000 0.804 0.355 Rh
0.000 0.804 0.645 Rh
0.500 0.000 0.500 Rh
0.500 0.304 0.145 Rh
0.500 0.304 0.855 Rh
0.500 0.696 0.145 Rh
0.500 0.696 0.855 Rh
```